## Ni3P4O14 (PBE with a Hubbard U)

Data for crystalline Ni3P4O14 at its relaxed geometry.

a b c (Å): 7.3003 7.8909 9.4289
angles (deg): 90.00 110.60 90.00
Space group P2_1/c (No. 14)
Unique sites:
Ni 0.0000 0.0000 0.0000
Ni 0.1851 0.1282 0.5256
P 0.1152 0.7081 0.8025
P 0.4012 0.0494 0.2931
O 0.0048 0.7088 0.6296
O 0.0327 0.5791 0.8880
O 0.1374 0.6190 0.3748
O 0.2707 0.1149 0.1358
O 0.3277 0.6388 0.8157
O 0.3662 0.1675 0.4107
O 0.3831 0.5267 0.1794

Results
The excess energy over the best structure of this formula in the dataset comes out at 0.0 meV per atom. The total DFT energy (no corrections) comes out at -6.427 eV per atom.